No. 1
The following is a DFT calculation (PBE) of crystalline K2PPt2 at its relaxed geometry.

The structure in extended XYZ format:
```
5
Lattice="6.452 -0.023 -0.010 2.957 5.735 0.010 -4.111 -3.833 3.168" Properties=species:S:1:pos:R:3 pbc="T T T"
K 3.128 -0.739 1.579
K 2.169 2.619 1.589
P 0.000 0.000 0.000
Pt 5.290 1.892 0.790
Pt 0.008 -0.013 2.378
```

Output
Density of states at the Fermi level, states/eV/cell: 1.97
Total magnetic moment, μB per cell: 0.00
Energy above the most stable polymorph in this dataset, eV per formula unit: 0.17

---

No. 2
The following is a DFT calculation (PBE) of crystalline KP3Pt7 at its relaxed geometry.

The structure in extended XYZ format:
```
22
Lattice="6.962 0.000 3.750 2.471 6.509 3.750 0.123 0.085 8.110" Properties=species:S:1:pos:R:3 pbc="T T T"
K 4.779 3.297 7.805
K 0.000 0.000 0.000
P 3.222 0.573 7.957
P 2.490 4.945 9.188
P 6.357 2.809 10.476
P 6.335 6.021 7.652
P 7.067 1.648 6.421
P 3.200 3.785 5.133
Pt 4.826 0.577 6.185
Pt 2.707 5.502 6.874
Pt 7.521 4.307 9.022
Pt 7.516 4.304 6.282
Pt 4.997 5.499 5.369
Pt 5.636 2.720 4.681
Pt 4.731 6.017 9.424
Pt 6.851 1.092 8.736
Pt 2.036 2.287 6.587
Pt 2.041 2.290 9.328
Pt 4.560 1.095 10.240
Pt 3.921 3.874 10.929
Pt 7.168 4.945 11.707
Pt 2.389 1.648 3.902
```

Output
Density of states at the Fermi level, states/eV/cell: 10.11
Total magnetic moment, μB per cell: 0.00

---

No. 3
The following is a DFT calculation (PBE) of crystalline KRb2PPt at its relaxed geometry.

The structure in extended XYZ format:
```
5
Lattice="-2.812 3.570 -5.192 -6.147 -0.305 3.119 0.894 3.805 2.132" Properties=species:S:1:pos:R:3 pbc="T T T"
P 0.447 1.902 1.066
K -4.032 3.535 0.030
Rb -3.073 -0.152 1.560
Rb -1.406 1.785 -2.596
Pt 0.000 0.000 0.000
```

Output
Density of states at the Fermi level, states/eV/cell: 1.64
Total magnetic moment, μB per cell: 0.00
Energy above the most stable polymorph in this dataset, eV per formula unit: 0.02

---

No. 4
The following is a DFT calculation (PBE) of crystalline KRb2PPt at its relaxed geometry.

The structure in extended XYZ format:
```
5
Lattice="-3.899 -4.607 -3.218 5.125 -4.523 0.266 -1.498 -1.467 3.915" Properties=species:S:1:pos:R:3 pbc="T T T"
P 0.000 0.000 0.000
K -0.136 -5.298 0.481
Rb 2.562 -2.261 0.133
Rb -1.950 -2.304 -1.609
Pt -0.749 -0.733 1.957
```

Output
Density of states at the Fermi level, states/eV/cell: 1.92
Total magnetic moment, μB per cell: 0.00
Energy above the most stable polymorph in this dataset, eV per formula unit: 0.00

---

No. 5
The following is a DFT calculation (PBE) of crystalline K2RbPPt at its relaxed geometry.

The structure in extended XYZ format:
```
5
Lattice="6.527 0.000 0.000 0.000 6.527 0.000 0.000 0.000 4.480" Properties=species:S:1:pos:R:3 pbc="T T T"
P 0.000 0.000 2.240
K 0.000 3.264 0.000
K 3.264 0.000 0.000
Rb 3.264 3.264 2.240
Pt 0.000 0.000 0.000
```

Output
Density of states at the Fermi level, states/eV/cell: 2.40
Total magnetic moment, μB per cell: 0.00
Energy above the most stable polymorph in this dataset, eV per formula unit: 0.02

---

No. 6
The following is a DFT calculation (PBE) of crystalline KRbPPt at its relaxed geometry.

The structure in extended XYZ format:
```
4
Lattice="4.321 0.000 0.000 0.000 5.841 0.000 -2.161 -2.921 5.292" Properties=species:S:1:pos:R:3 pbc="T T T"
K 2.161 2.921 3.797
Rb 2.161 2.921 0.165
P 0.000 0.000 1.767
Pt 2.161 0.000 2.413
```

Output
Density of states at the Fermi level, states/eV/cell: 0.49
Total magnetic moment, μB per cell: 0.00

---

Formation energy: -0.379; -0.158; -0.199; -0.203; -0.218; -0.425 (eV/atom)